# 1
DFT (SCAN) results for NdMnO3 at its PBEsol-relaxed geometry.

## Properties
space group: Pnma (62)
formation energy (no corrections): -293.5 kJ per mole of atoms

The structure in POSCAR format:
```
NdMnO3
1.0
5.3980 0.0000 0.0000
0.0000 5.5509 0.0279
0.0000 -0.0388 7.6804
Nd Mn O
4 4 12
Cartesian
2.7652 3.0376 5.7756 Nd
5.3319 0.2621 5.7617 Nd
0.0661 5.2501 1.9467 Nd
2.6329 2.4746 1.9327 Nd
0.0000 2.7561 3.8542 Mn
2.6990 0.0000 0.0000 Mn
2.6990 -0.0194 3.8402 Mn
0.0000 2.7755 0.0139 Mn
2.2598 5.4173 5.7877 O
4.9589 2.8703 1.9346 O
1.5668 3.9287 0.3559 O
3.1382 0.0948 1.9206 O
1.1322 1.1532 0.3420 O
1.5670 3.9126 3.5246 O
0.4392 2.6419 5.7738 O
3.8310 1.5996 4.1838 O
4.2658 4.3589 7.3664 O
1.1320 1.1371 3.5106 O
4.2660 4.3751 4.1977 O
3.8312 1.5835 7.3524 O
```



# 2
DFT (SCAN) results for Li2YOs at its PBEsol-relaxed geometry.

## Properties
space group: Imm2 (44)
relative energy among the computed polymorphs: 0.000 eV/atom
E_form: 200 meV/atom

The structure in POSCAR format:
```
Li2YOs
1.0
3.7273 0.0000 0.0000
0.0000 4.5500 0.0000
-1.8637 -2.2750 3.9291
Os Li Y
1 2 1
Cartesian
1.8637 2.2750 0.1573 Os
0.0000 2.2750 2.0117 Li
1.8637 2.2750 3.7534 Li
1.8637 0.0000 1.9357 Y
```



# 3
DFT (SCAN) results for BaNi2W at its PBEsol-relaxed geometry.

## Properties
space group: P4mm (99)
E_form: 749 meV/atom

The structure in POSCAR format:
```
BaNi2W
1.0
-0.7410 -3.0003 -0.3223
2.0260 -0.7406 2.2364
-5.3429 0.7721 5.0959
W Ba Ni
1 1 2
Cartesian
-2.1525 0.3111 2.0530 W
-3.4668 -1.2766 4.8764 Ba
-0.4487 0.0648 0.4279 Ni
-0.6613 -1.6820 2.2006 Ni
```



# 4
DFT (SCAN) results for Sr8Mn3N9 at its PBEsol-relaxed geometry.

## Properties
space group: P2_1/c (14)
formation energy (no corrections): -91.9 kJ per mole of atoms

The structure in POSCAR format:
```
Sr8Mn3N9
1.0
7.4977 0.0000 -0.0032
0.0000 10.5190 0.0000
-2.2884 0.0000 17.9145
Sr N Mn
32 36 12
Cartesian
4.9848 9.2249 15.3411 Sr
3.1120 9.1609 4.1205 Sr
1.4254 6.6235 9.8757 Sr
5.7166 6.6176 13.0761 Sr
6.1034 6.5974 7.5729 Sr
5.8320 1.3500 12.8828 Sr
-1.1091 1.3640 16.9944 Sr
-0.8622 9.2006 10.4399 Sr
4.5263 3.9932 15.3112 Sr
0.6830 6.5258 2.6001 Sr
3.2274 3.9095 3.9271 Sr
6.3184 9.1550 0.9169 Sr
1.9819 6.6095 13.9842 Sr
3.2876 9.2527 11.5557 Sr
1.2103 9.1811 16.5318 Sr
-0.8940 3.9216 10.3384 Sr
3.9990 1.3379 1.3795 Sr
1.9217 1.2663 6.3556 Sr
1.3202 1.2600 10.1316 Sr
2.3802 6.5537 6.3854 Sr
2.8291 3.9654 11.5259 Sr
4.0308 6.5779 1.4810 Sr
2.0973 1.3581 13.7908 Sr
6.2132 3.9995 1.1727 Sr
1.1785 3.9411 16.4303 Sr
6.0715 1.3184 7.4714 Sr
-0.5073 3.9014 4.8352 Sr
-1.0039 6.5195 16.7385 Sr
3.7839 3.8955 8.0355 Sr
3.8892 9.2590 7.7797 Sr
-0.6227 9.1691 5.0285 Sr
0.2245 1.2941 2.5702 Sr
1.0448 9.8587 12.5017 N
5.6439 9.3052 12.8398 N
1.6129 1.2997 16.5457 N
5.3204 2.4664 3.2334 N
3.6251 1.3458 8.5953 N
6.3278 1.2408 0.3248 N
3.5232 3.9937 1.1871 N
2.1701 4.0457 14.0271 N
4.2548 6.7020 15.2813 N
3.5965 9.2193 1.3656 N
-1.2966 6.5593 10.3245 N
1.4348 4.0187 9.2837 N
0.8324 9.2057 2.6302 N
6.1279 1.2659 10.1427 N
6.5059 3.9598 7.5868 N
1.6861 6.5254 16.7242 N
3.5592 1.4424 11.5856 N
-0.1111 8.0527 14.6779 N
0.9545 3.8171 2.6300 N
-0.7285 4.5991 14.3684 N
5.9378 5.9199 3.5429 N
3.4371 6.5729 11.5859 N
-1.2679 3.9138 17.5542 N
4.3769 1.3133 15.2811 N
-1.1185 9.2782 17.5865 N
4.1645 0.6604 5.4096 N
3.0392 6.4734 3.8842 N
6.4772 6.6053 0.3571 N
1.6502 9.0766 6.3257 N
4.7820 7.7259 5.7190 N
-0.9186 9.2532 7.7686 N
1.5842 9.1733 9.3160 N
1.7722 3.9462 6.3254 N
0.4274 2.7932 12.1923 N
-0.4346 1.2138 5.0715 N
3.7746 6.5004 8.6276 N
4.6936 6.6033 4.4554 Mn
3.3248 1.2613 16.6772 Mn
1.8339 3.8872 1.1334 Mn
-0.1994 9.1753 13.4142 Mn
1.8845 9.2577 1.2341 Mn
0.5157 3.9157 13.4559 Mn
4.4385 1.3723 10.0891 Mn
0.7202 3.9982 7.7216 Mn
0.7708 9.1467 7.8222 Mn
5.4087 1.3438 4.4971 Mn
3.3754 6.6319 16.7779 Mn
4.4892 6.5208 10.1897 Mn
```